A relaxed structure of Zn4Mo3O12, computed with GGA+U.

Uncorrected energy   -5.98 eV/atom

Lattice parameters (Å, degrees): 5.2375 10.8995 17.3036 90.00 90.00 90.00
Last column: nearest neighbours and their distance in Å.
Fractional positions:
O 0.0719 0.1167 0.0381  1 Mo 1.79
O 0.3388 0.2500 0.1555  1 Mo 1.79
Zn 0.2350 0.7500 0.1955  6 O 2.13-2.23
O 0.9103 0.5028 0.5766  1 Mo 1.93, 2 Zn 2.06-2.09
O 0.9491 0.3758 0.8808  1 Mo 1.87, 1 Zn 2.04
Zn 0.7650 0.2500 0.8045  6 O 2.13-2.23
Mo 0.2093 0.4651 0.8333  4 O 1.84-1.95
O 0.6612 0.7500 0.8445  1 Mo 1.79
O 0.4705 0.1237 0.7758  1 Mo 1.95, 1 Zn 2.13
Zn 0.2299 0.0740 0.5271  5 O 2.04-2.17
Mo 0.7907 0.9651 0.1667  4 O 1.84-1.95
Zn 0.2701 0.9260 0.0271  5 O 2.04-2.17
O 0.5719 0.1167 0.4619  1 Mo 1.79
O 0.9705 0.3763 0.7242  1 Mo 1.95, 1 Zn 2.13
O 0.9103 0.9972 0.5766  1 Mo 1.93, 2 Zn 2.06-2.09
O 0.9516 0.7500 0.4929  1 Mo 1.83
O 0.5484 0.2500 0.9929  1 Mo 1.83
O 0.0295 0.8763 0.2758  1 Mo 1.95, 1 Zn 2.13
Mo 0.7093 0.4651 0.6667  4 O 1.84-1.95
O 0.9705 0.1237 0.7242  1 Mo 1.95, 1 Zn 2.13
O 0.4491 0.3758 0.6192  1 Mo 1.87, 1 Zn 2.04
O 0.3301 0.3803 0.2920  1 Mo 1.84, 1 Zn 2.05
O 0.1699 0.8803 0.7920  1 Mo 1.84, 1 Zn 2.05
Zn 0.2650 0.2500 0.6955  6 O 2.13-2.23
O 0.5509 0.6242 0.3808  1 Mo 1.87, 1 Zn 2.04
O 0.4281 0.6167 0.5381  1 Mo 1.79
O 0.1699 0.6197 0.7920  1 Mo 1.84, 1 Zn 2.05
Zn 0.7701 0.5740 0.4729  5 O 2.04-2.17
Mo 0.7907 0.5349 0.1667  4 O 1.84-1.95
O 0.4491 0.1242 0.6192  1 Mo 1.87, 1 Zn 2.04
Zn 0.7299 0.4260 0.9729  5 O 2.04-2.17
O 0.4281 0.8833 0.5381  1 Mo 1.79
Zn 0.9175 0.7500 0.7495  6 O 2.05-2.12
Zn 0.2701 0.5740 0.0271  5 O 2.04-2.17
O 0.4103 0.5028 0.9234  1 Mo 1.93, 2 Zn 2.06-2.09
Mo 0.2093 0.0349 0.8333  4 O 1.84-1.95
Mo 0.7093 0.0349 0.6667  4 O 1.84-1.95
Zn 0.7299 0.0740 0.9729  5 O 2.04-2.17
Zn 0.0825 0.2500 0.2505  6 O 2.05-2.12
O 0.9281 0.8833 0.9619  1 Mo 1.79
O 0.5897 0.0028 0.0766  1 Mo 1.93, 2 Zn 2.06-2.09
O 0.8301 0.3803 0.2080  1 Mo 1.84, 1 Zn 2.05
O 0.9491 0.1242 0.8808  1 Mo 1.87, 1 Zn 2.04
Zn 0.7701 0.9260 0.4729  5 O 2.04-2.17
O 0.4516 0.7500 0.0071  1 Mo 1.83
O 0.5719 0.3833 0.4619  1 Mo 1.79
O 0.0295 0.6237 0.2758  1 Mo 1.95, 1 Zn 2.13
O 0.3301 0.1197 0.2920  1 Mo 1.84, 1 Zn 2.05
O 0.5509 0.8758 0.3808  1 Mo 1.87, 1 Zn 2.04
O 0.5897 0.4972 0.0766  1 Mo 1.93, 2 Zn 2.06-2.09
Zn 0.5825 0.2500 0.2495  6 O 2.05-2.12
O 0.5295 0.6237 0.2242  1 Mo 1.95, 1 Zn 2.13
O 0.6699 0.6197 0.7080  1 Mo 1.84, 1 Zn 2.05
Zn 0.2299 0.4260 0.5271  5 O 2.04-2.17
O 0.8301 0.1197 0.2080  1 Mo 1.84, 1 Zn 2.05
O 0.6699 0.8803 0.7080  1 Mo 1.84, 1 Zn 2.05
O 0.8388 0.2500 0.3445  1 Mo 1.79
Zn 0.7350 0.7500 0.3045  6 O 2.13-2.23
O 0.4103 0.9972 0.9234  1 Mo 1.93, 2 Zn 2.06-2.09
O 0.0484 0.2500 0.5071  1 Mo 1.83
O 0.4705 0.3763 0.7758  1 Mo 1.95, 1 Zn 2.13
O 0.0897 0.0028 0.4234  1 Mo 1.93, 2 Zn 2.06-2.09
O 0.0509 0.8758 0.1192  1 Mo 1.87, 1 Zn 2.04
O 0.5295 0.8763 0.2242  1 Mo 1.95, 1 Zn 2.13
Mo 0.2907 0.9651 0.3333  4 O 1.84-1.95
O 0.0897 0.4972 0.4234  1 Mo 1.93, 2 Zn 2.06-2.09
Mo 0.2639 0.2500 0.0544  4 O 1.79-1.83
Mo 0.7361 0.7500 0.9456  4 O 1.79-1.83
Mo 0.2907 0.5349 0.3333  4 O 1.84-1.95
O 0.0509 0.6242 0.1192  1 Mo 1.87, 1 Zn 2.04
O 0.1612 0.7500 0.6555  1 Mo 1.79
Mo 0.2361 0.7500 0.5544  4 O 1.79-1.83
Mo 0.7639 0.2500 0.4456  4 O 1.79-1.83
O 0.9281 0.6167 0.9619  1 Mo 1.79
Zn 0.4175 0.7500 0.7505  6 O 2.05-2.12
O 0.0719 0.3833 0.0381  1 Mo 1.79